VASP calculation (PBE-GGA) on an optimized crystal structure of Ti5SiSn2.

extended XYZ file:
```
16
Lattice="4.6085 0.0000 0.0000 -2.3043 6.5939 0.0000 0.0000 0.0000 11.1756" Properties=species:S:1:pos:R:3 pbc="T T T"
Ti 2.3042 5.1000 9.7562
Ti 2.3043 2.5716 2.7939
Ti 0.0000 1.4939 1.4195
Ti 2.3043 2.6044 5.7737
Ti 0.0000 1.4939 4.1683
Ti 0.0000 3.9895 5.4019
Ti 0.0000 3.9895 0.1859
Ti 2.3042 5.1000 7.0073
Ti 2.3043 2.6044 10.9898
Ti 0.0000 4.0224 8.3817
Sn 2.3043 5.2553 1.3601
Sn 0.0000 1.3386 9.8156
Sn 2.3043 5.2553 4.2278
Sn 0.0000 1.3386 6.9479
Si 0.0000 3.8132 2.7939
Si 2.3043 2.7807 8.3817
```

## Properties
Energy relative to the elements, uncorrected in kcal/mol of atoms: 2.72
Electronic total energy in eV per atom: -6.4948
Theoretical density in g/cm3: 4.94
M_tot in μB/f.u.: 0.000